Entry w
Computed, not measured: Mo3PI after structural relaxation at the GGA-PBE level of DFT.

a b c (Å): 4.5751 4.5751 4.5751
angles (deg): 90.00 90.00 90.00
Last column: nearest neighbours and their distance in Å.
Space group Pm-3m (No. 221)
Unique sites:
Mo (0.0000, 0.0000, 0.5000)  2 P 2.29
P (0.0000, 0.0000, 0.0000)  6 Mo 2.29
I (0.5000, 0.5000, 0.5000)  12 Mo 3.24

Output
DOS(E_F): 6.14 states/eV/f.u.
calculated density: 7728 kg/m3

=====

Entry x
Computed, not measured: Mo3PI after structural relaxation at the GGA-PBE level of DFT.

a b c (Å): 4.8782 4.8782 4.8782
angles (deg): 90.00 90.00 90.00
Last column: nearest neighbours and their distance in Å.
Space group Pm-3m (No. 221)
Unique sites:
Mo (0.0000, 0.0000, 0.5000)  2 I 2.44
P (0.5000, 0.5000, 0.5000)  12 Mo 3.45
I (0.0000, 0.0000, 0.0000)  6 Mo 2.44

Output
DOS(E_F): 3.64 states/eV/f.u.
calculated density: 6376 kg/m3

=====

It is entry w that is the most stable of them.

=====

Entry w
Computed, not measured: MoPI3 after structural relaxation at the GGA-PBE level of DFT.

a b c (Å): 5.5225 5.5225 5.5225
angles (deg): 90.00 90.00 90.00
Last column: nearest neighbours and their distance in Å.
Space group Pm-3m (No. 221)
Unique sites:
Mo (0.0000, 0.0000, 0.0000)  12 I 3.90
P (0.5000, 0.5000, 0.5000)  6 I 2.76
I (0.0000, 0.5000, 0.5000)  2 P 2.76

Output
DOS(E_F): 1.73 states/eV/f.u.
calculated density: 5005 kg/m3

=====

Entry x
Computed, not measured: MoPI3 after structural relaxation at the GGA-PBE level of DFT.

a b c (Å): 5.3835 5.3835 5.3835
angles (deg): 90.00 90.00 90.00
Last column: nearest neighbours and their distance in Å.
Space group Pm-3m (No. 221)
Unique sites:
Mo (0.0000, 0.0000, 0.0000)  6 I 2.69
P (0.5000, 0.5000, 0.5000)  12 I 3.81
I (0.0000, 0.0000, 0.5000)  2 Mo 2.69

Output
DOS(E_F): 9.63 states/eV/f.u.
calculated density: 5402 kg/m3

=====

It is entry x that is the most stable of them.

=====

Entry w
Computed, not measured: MoPS2I after structural relaxation at the GGA-PBE level of DFT.

a b c (Å): 4.5995 4.5995 5.1529
angles (deg): 90.00 90.00 90.00
Last column: nearest neighbours and their distance in Å.
Space group P4/mmm (No. 123)
Unique sites:
Mo (0.0000, 0.0000, 0.0000)  4 S 2.30
P (0.0000, 0.0000, 0.5000)  2 Mo 2.58
S (0.0000, 0.5000, 0.0000)  2 Mo 2.30
I (0.5000, 0.5000, 0.5000)  4 P 3.25, 8 S 3.45

Output
DOS(E_F): 2.93 states/eV/f.u.
calculated density: 4843 kg/m3

=====

Entry x
Computed, not measured: MoPS2I after structural relaxation at the GGA-PBE level of DFT.

a b c (Å): 4.9928 4.9928 5.2263
angles (deg): 90.00 90.00 90.00
Last column: nearest neighbours and their distance in Å.
Space group P4/mmm (No. 123)
Unique sites:
Mo (0.0000, 0.0000, 0.0000)  4 P 3.53, 8 S 3.61
P (0.5000, 0.5000, 0.0000)  2 I 2.61
S (0.0000, 0.5000, 0.5000)  2 I 2.50
I (0.5000, 0.5000, 0.5000)  4 S 2.50, 2 P 2.61

Output
DOS(E_F): 4.09 states/eV/f.u.
calculated density: 4052 kg/m3

=====

It is entry w that is the most stable of them.

=====

Entry w
Computed, not measured: Sb2MoPI after structural relaxation at the GGA-PBE level of DFT.

a b c (Å): 5.2339 5.2339 5.2241
angles (deg): 90.00 90.00 90.00
Last column: nearest neighbours and their distance in Å.
Space group P4/mmm (No. 123)
Unique sites:
Sb (0.0000, 0.5000, 0.0000)  2 P 2.62
Mo (0.0000, 0.0000, 0.5000)  8 Sb 3.70, 4 I 3.70
P (0.5000, 0.5000, 0.0000)  2 I 2.61, 4 Sb 2.62
I (0.5000, 0.5000, 0.5000)  2 P 2.61

Output
DOS(E_F): 4.37 states/eV/f.u.
calculated density: 5771 kg/m3

=====

Entry x
Computed, not measured: Sb2MoPI after structural relaxation at the GGA-PBE level of DFT.

a b c (Å): 5.2448 5.2448 5.3731
angles (deg): 90.00 90.00 90.00
Last column: nearest neighbours and their distance in Å.
Space group P4/mmm (No. 123)
Unique sites:
Sb (0.0000, 0.5000, 0.0000)  2 Mo 2.62
Mo (0.0000, 0.0000, 0.0000)  4 Sb 2.62, 2 I 2.69
P (0.5000, 0.5000, 0.5000)  4 I 3.71, 8 Sb 3.75
I (0.0000, 0.0000, 0.5000)  2 Mo 2.69

Output
DOS(E_F): 5.27 states/eV/f.u.
calculated density: 5588 kg/m3

=====

It is entry x that is the most stable of them.

=====

Entry w
Computed, not measured: MoPd2I after structural relaxation at the GGA-PBE level of DFT.

a b c (Å): 6.6601 6.6601 8.9040
angles (deg): 90.00 90.00 90.00
Last column: nearest neighbours and their distance in Å.
Space group I-42d (No. 122)
Unique sites:
Mo (0.0000, 0.0000, 0.0000)  4 Pd 2.45
Pd (0.2131, 0.7500, 0.1250)  2 Mo 2.45
I (0.0000, 0.0000, 0.5000)  4 Pd 2.77

Output
DOS(E_F): 2.75 states/eV/f.u.
calculated density: 7327 kg/m3

=====

Entry x
Computed, not measured: MoPd2I after structural relaxation at the GGA-PBE level of DFT.

a b c (Å): 6.6981 6.6981 6.6981
angles (deg): 90.00 90.00 90.00
Last column: nearest neighbours and their distance in Å.
Space group Fm-3m (No. 225)
Unique sites:
Mo (0.0000, 0.0000, 0.0000)  8 Pd 2.90
Pd (0.2500, 0.2500, 0.2500)  4 Mo 2.90, 4 I 2.90
I (0.0000, 0.0000, 0.5000)  8 Pd 2.90

Output
DOS(E_F): 4.56 states/eV/f.u.
calculated density: 9630 kg/m3

=====

It is entry x that is the most stable of them.

=====

Entry w
Computed, not measured: MoPd3I after structural relaxation at the GGA-PBE level of DFT.

a b c (Å): 4.9477 4.9477 4.9477
angles (deg): 90.00 90.00 90.00
Last column: nearest neighbours and their distance in Å.
Space group Pm-3m (No. 221)
Unique sites:
Mo (0.0000, 0.0000, 0.0000)  12 Pd 3.50
Pd (0.0000, 0.5000, 0.5000)  2 I 2.47
I (0.5000, 0.5000, 0.5000)  6 Pd 2.47

Output
DOS(E_F): 0.55 states/eV/f.u.
calculated density: 7432 kg/m3

=====

Entry x
Computed, not measured: MoPd3I after structural relaxation at the GGA-PBE level of DFT.

a b c (Å): 4.8933 4.8933 4.8933
angles (deg): 90.00 90.00 90.00
Last column: nearest neighbours and their distance in Å.
Space group Pm-3m (No. 221)
Unique sites:
Mo (0.0000, 0.0000, 0.0000)  6 Pd 2.45
Pd (0.0000, 0.0000, 0.5000)  2 Mo 2.45
I (0.5000, 0.5000, 0.5000)  12 Pd 3.46

Output
DOS(E_F): 4.83 states/eV/f.u.
calculated density: 7683 kg/m3

=====

It is entry x that is the most stable of them.

=====

Entry w
Computed, not measured: MoPdI2 after structural relaxation at the GGA-PBE level of DFT.

a b c (Å): 6.1157 6.1157 12.5336
angles (deg): 90.00 90.00 90.00
Last column: nearest neighbours and their distance in Å.
Space group I-42d (No. 122)
Unique sites:
Mo (0.0000, 0.0000, 0.0000)  4 I 2.64
Pd (0.0000, 0.0000, 0.5000)  4 I 2.70
I (0.2418, 0.2500, 0.1250)  2 Mo 2.64, 2 Pd 2.70

Output
DOS(E_F): 3.09 states/eV/f.u.
calculated density: 6463 kg/m3

=====

Entry x
Computed, not measured: MoPdI2 after structural relaxation at the GGA-PBE level of DFT.

a b c (Å): 6.9485 6.9485 6.9485
angles (deg): 90.00 90.00 90.00
Last column: nearest neighbours and their distance in Å.
Space group Fm-3m (No. 225)
Unique sites:
Mo (0.0000, 0.0000, 0.0000)  8 I 3.01
Pd (0.0000, 0.0000, 0.5000)  8 I 3.01
I (0.2500, 0.2500, 0.2500)  4 Pd 3.01, 4 Mo 3.01

Output
DOS(E_F): 3.03 states/eV/f.u.
calculated density: 9032 kg/m3

=====

It is entry w that is the most stable of them.

=====

Entry w
Computed, not measured: MoPtI2 after structural relaxation at the GGA-PBE level of DFT.

a b c (Å): 6.0505 6.0505 12.5602
angles (deg): 90.00 90.00 90.00
Last column: nearest neighbours and their distance in Å.
Space group I-42d (No. 122)
Unique sites:
Mo (0.0000, 0.0000, 0.0000)  4 I 2.64
Pt (0.0000, 0.0000, 0.5000)  4 I 2.67
I (0.2452, 0.2500, 0.1250)  2 Mo 2.64, 2 Pt 2.67

Output
DOS(E_F): 2.77 states/eV/f.u.
calculated density: 7870 kg/m3

=====

Entry x
Computed, not measured: MoPtI2 after structural relaxation at the GGA-PBE level of DFT.

a b c (Å): 6.9925 6.9925 6.9925
angles (deg): 90.00 90.00 90.00
Last column: nearest neighbours and their distance in Å.
Space group Fm-3m (No. 225)
Unique sites:
Mo (0.0000, 0.0000, 0.0000)  8 I 3.03
Pt (0.0000, 0.0000, 0.5000)  8 I 3.03
I (0.2500, 0.2500, 0.2500)  4 Pt 3.03, 4 Mo 3.03

Output
DOS(E_F): 3.57 states/eV/f.u.
calculated density: 10585 kg/m3

=====

It is entry w that is the most stable of them.

=====

Entry w
Computed, not measured: SbMoPtI2 after structural relaxation at the GGA-PBE level of DFT.

a b c (Å): 5.2312 5.2312 5.3985
angles (deg): 90.00 90.00 90.00
Last column: nearest neighbours and their distance in Å.
Space group P4/mmm (No. 123)
Unique sites:
Sb (0.0000, 0.0000, 0.0000)  2 Mo 2.70
Mo (0.0000, 0.0000, 0.5000)  4 I 2.62, 2 Sb 2.70
Pt (0.5000, 0.5000, 0.0000)  4 Sb 3.70, 8 I 3.76
I (0.0000, 0.5000, 0.5000)  2 Mo 2.62

Output
DOS(E_F): 4.87 states/eV/f.u.
calculated density: 7493 kg/m3

=====

Entry x
Computed, not measured: SbMoPtI2 after structural relaxation at the GGA-PBE level of DFT.

a b c (Å): 5.5731 5.5731 5.1773
angles (deg): 90.00 90.00 90.00
Last column: nearest neighbours and their distance in Å.
Space group P4/mmm (No. 123)
Unique sites:
Sb (0.0000, 0.0000, 0.0000)  2 Pt 2.59
Mo (0.5000, 0.5000, 0.0000)  8 I 3.80, 4 Sb 3.94
Pt (0.0000, 0.0000, 0.5000)  2 Sb 2.59, 4 I 2.79
I (0.0000, 0.5000, 0.5000)  2 Pt 2.79

Output
DOS(E_F): 4.78 states/eV/f.u.
calculated density: 6884 kg/m3

=====

It is entry x that is the most stable of them.

=====

Entry w
Computed, not measured: Sb2MoPtI after structural relaxation at the GGA-PBE level of DFT.

a b c (Å): 5.2259 5.2259 5.5117
angles (deg): 90.00 90.00 90.00
Last column: nearest neighbours and their distance in Å.
Space group P4/mmm (No. 123)
Unique sites:
Sb (0.0000, 0.5000, 0.0000)  2 Pt 2.61
Mo (0.0000, 0.0000, 0.5000)  4 I 3.70, 8 Sb 3.80
Pt (0.5000, 0.5000, 0.0000)  4 Sb 2.61, 2 I 2.76
I (0.5000, 0.5000, 0.5000)  2 Pt 2.76

Output
DOS(E_F): 5.27 states/eV/f.u.
calculated density: 7297 kg/m3

=====

Entry x
Computed, not measured: Sb2MoPtI after structural relaxation at the GGA-PBE level of DFT.

a b c (Å): 5.2275 5.2275 5.1760
angles (deg): 90.00 90.00 90.00
Last column: nearest neighbours and their distance in Å.
Space group P4/mmm (No. 123)
Unique sites:
Sb (0.0000, 0.5000, 0.0000)  2 Mo 2.61
Mo (0.0000, 0.0000, 0.0000)  2 I 2.59, 4 Sb 2.61
Pt (0.5000, 0.5000, 0.5000)  8 Sb 3.68, 4 I 3.70
I (0.0000, 0.0000, 0.5000)  2 Mo 2.59

Output
DOS(E_F): 5.04 states/eV/f.u.
calculated density: 7765 kg/m3

=====

It is entry x that is the most stable of them.

=====

Entry w
Computed, not measured: Rb2MoI after structural relaxation at the GGA-PBE level of DFT.

a b c (Å): 13.3217 13.3217 5.7472
angles (deg): 90.00 90.00 90.00
Last column: nearest neighbours and their distance in Å.
Space group I-42d (No. 122)
Unique sites:
Rb (0.0976, 0.2500, 0.1250)  2 I 3.65
Mo (0.0000, 0.0000, 0.5000)  2 I 2.87
I (0.0000, 0.0000, 0.0000)  2 Mo 2.87

Output
DOS(E_F): 3.42 states/eV/f.u.
calculated density: 2564 kg/m3

=====

Entry x
Computed, not measured: Rb2MoI after structural relaxation at the GGA-PBE level of DFT.

a b c (Å): 9.1327 9.1327 9.1327
angles (deg): 90.00 90.00 90.00
Last column: nearest neighbours and their distance in Å.
Space group Fm-3m (No. 225)
Unique sites:
Rb (0.2500, 0.2500, 0.2500)  4 I 3.95, 4 Mo 3.95
Mo (0.0000, 0.0000, 0.0000)  8 Rb 3.95
I (0.0000, 0.0000, 0.5000)  8 Rb 3.95

Output
DOS(E_F): 0.00 states/eV/f.u.
calculated density: 3434 kg/m3

=====

It is entry x that is the most stable of them.

=====

Entry w
Computed, not measured: RbMo3I after structural relaxation at the GGA-PBE level of DFT.

a b c (Å): 4.8461 4.8461 4.8461
angles (deg): 90.00 90.00 90.00
Last column: nearest neighbours and their distance in Å.
Space group Pm-3m (No. 221)
Unique sites:
Rb (0.0000, 0.0000, 0.0000)  6 Mo 2.42
Mo (0.0000, 0.0000, 0.5000)  2 Rb 2.42
I (0.5000, 0.5000, 0.5000)  12 Mo 3.43

Output
DOS(E_F): 5.94 states/eV/f.u.
calculated density: 7298 kg/m3

=====

Entry x
Computed, not measured: RbMo3I after structural relaxation at the GGA-PBE level of DFT.

a b c (Å): 5.0618 5.0618 5.0618
angles (deg): 90.00 90.00 90.00
Last column: nearest neighbours and their distance in Å.
Space group Pm-3m (No. 221)
Unique sites:
Rb (0.0000, 0.0000, 0.0000)  12 Mo 3.58
Mo (0.0000, 0.5000, 0.5000)  2 I 2.53
I (0.5000, 0.5000, 0.5000)  6 Mo 2.53

Output
DOS(E_F): 5.40 states/eV/f.u.
calculated density: 6404 kg/m3

=====

It is entry x that is the most stable of them.